Here is a relaxed KCa2La crystal from Alexandria. Energies are from PBE.

Properties
Total magnetization ... 0.000 μB/cell
DFT formation energy ... 0.24 eV/atom
Energy above the lowest structure with this stoichiometry ... 117.7 meV/atom

```
data_KCa2La
_symmetry_space_group_name_H-M 'P 1'
_symmetry_Int_Tables_number 1
_symmetry_space_group_name_Hall 'P 1'
_cell_length_a 6.949
_cell_length_b 6.949
_cell_length_c 7.166
_cell_angle_alpha 84.36
_cell_angle_beta 84.36
_cell_angle_gamma 31.38
loop_
_atom_site_label
_atom_site_type_symbol
_atom_site_fract_x
_atom_site_fract_y
_atom_site_fract_z
Ca1 Ca 0.999 0.999 0.007
Ca2 Ca 0.747 0.747 0.759
K1 K 0.500 0.500 0.507
La1 La 0.255 0.255 0.227
```



Here is a relaxed Tb2Pr3Y7 crystal from Alexandria. Energies are from PBE.

Properties
Total magnetization ... 0.008 μB/cell
DFT formation energy ... 0.11 eV/atom
Energy above the lowest structure with this stoichiometry ... 32.2 meV/atom

```
data_Tb2Pr3Y7
_symmetry_space_group_name_H-M 'P 1'
_symmetry_Int_Tables_number 1
_symmetry_space_group_name_Hall 'P 1'
_cell_length_a 19.456
_cell_length_b 19.456
_cell_length_c 3.611
_cell_angle_alpha 90.00
_cell_angle_beta 90.00
_cell_angle_gamma 162.86
loop_
_atom_site_label
_atom_site_type_symbol
_atom_site_fract_x
_atom_site_fract_y
_atom_site_fract_z
Tb1 Tb 0.646 0.354 0.500
Tb2 Tb 0.354 0.646 0.500
Pr1 Pr 0.500 0.500 0.500
Pr2 Pr 0.184 0.816 0.000
Pr3 Pr 0.816 0.184 0.000
Y1 Y 0.730 0.270 0.500
Y2 Y 0.270 0.730 0.500
Y3 Y 0.572 0.428 0.000
Y4 Y 0.000 0.000 0.000
Y5 Y 0.428 0.572 0.000
Y6 Y 0.910 0.090 0.500
Y7 Y 0.090 0.910 0.500
```



Here is a relaxed Y4Hg3 crystal from Alexandria. Energies are from PBE.

Properties
Total magnetization ... 0.000 μB/cell
DFT formation energy ... -0.35 eV/atom
Energy above the lowest structure with this stoichiometry ... 0.0 meV/atom

```
data_Y4Hg3
_symmetry_space_group_name_H-M 'P 1'
_symmetry_Int_Tables_number 1
_symmetry_space_group_name_Hall 'P 1'
_cell_length_a 5.198
_cell_length_b 5.198
_cell_length_c 8.982
_cell_angle_alpha 73.18
_cell_angle_beta 73.18
_cell_angle_gamma 60.00
loop_
_atom_site_label
_atom_site_type_symbol
_atom_site_fract_x
_atom_site_fract_y
_atom_site_fract_z
Y1 Y 0.621 0.621 0.136
Y2 Y 0.873 0.873 0.381
Y3 Y 0.127 0.127 0.619
Y4 Y 0.379 0.379 0.864
Hg1 Hg 0.248 0.248 0.256
Hg2 Hg 0.752 0.752 0.744
Hg3 Hg 0.000 0.000 0.000
```



- What is the total magnetization in the first record?
  0.000 μB/cell



Repeat the second record exactly.
Here is a relaxed Tb2Pr3Y7 crystal from Alexandria. Energies are from PBE.

Properties
Total magnetization ... 0.008 μB/cell
DFT formation energy ... 0.11 eV/atom
Energy above the lowest structure with this stoichiometry ... 32.2 meV/atom

```
data_Tb2Pr3Y7
_symmetry_space_group_name_H-M 'P 1'
_symmetry_Int_Tables_number 1
_symmetry_space_group_name_Hall 'P 1'
_cell_length_a 19.456
_cell_length_b 19.456
_cell_length_c 3.611
_cell_angle_alpha 90.00
_cell_angle_beta 90.00
_cell_angle_gamma 162.86
loop_
_atom_site_label
_atom_site_type_symbol
_atom_site_fract_x
_atom_site_fract_y
_atom_site_fract_z
Tb1 Tb 0.646 0.354 0.500
Tb2 Tb 0.354 0.646 0.500
Pr1 Pr 0.500 0.500 0.500
Pr2 Pr 0.184 0.816 0.000
Pr3 Pr 0.816 0.184 0.000
Y1 Y 0.730 0.270 0.500
Y2 Y 0.270 0.730 0.500
Y3 Y 0.572 0.428 0.000
Y4 Y 0.000 0.000 0.000
Y5 Y 0.428 0.572 0.000
Y6 Y 0.910 0.090 0.500
Y7 Y 0.090 0.910 0.500
```



- Which of these has the highest DFT formation energy?
  KCa2La